A relaxed LiNdHoZn crystal. Source: the Alexandria database, functional PBE-GGA.

a = 3.6724 Å, b = 3.6724 Å, c = 7.4213 Å
α = 90.00°, β = 90.00°, γ = 90.00°
Last column: nearest neighbours and their distance in Å.
Positions (direct):
Nd (0.5000, 0.5000, 0.5907)  4 Zn 3.18, 4 Li 3.32, 1 Ho 3.46
Ho (0.5000, 0.5000, 0.1251)  4 Zn 3.06, 4 Li 3.21
Zn (0.0000, 0.0000, 0.3424)  4 Ho 3.06, 4 Nd 3.18
Li (0.0000, 0.0000, 0.8698)  4 Ho 3.21, 4 Nd 3.32, 1 Zn 3.51

As for the calculated total energy: -3.25 eV per atom. The calculation puts the formation energy at -0.118 eV/atom. The space-group type is P4mm (99).

---

A relaxed Sb2PtBr crystal. Source: the Alexandria database, functional PBE-GGA.

a = 5.3537 Å, b = 6.8506 Å, c = 5.3546 Å
α = 113.04°, β = 119.97°, γ = 112.97°
Last column: nearest neighbours and their distance in Å.
Positions (direct):
Sb (0.4250, 0.8746, 0.6991)  2 Pt 2.69
Pt (0.7500, 0.3750, 0.3750)  2 Br 2.68, 4 Sb 2.69
Sb (0.0749, 0.8753, 0.0508)  2 Pt 2.69
Br (0.2501, 0.3751, 0.8751)  2 Pt 2.68

As for the calculated total energy: -4.24 eV per atom. The formation energy (no corrections) is -24 kJ per mole of atoms. The space-group type is C2/m (12).

---

A relaxed Cs2PdPbF6 crystal. Source: the Alexandria database, functional PBE-GGA.

a = 6.3185 Å, b = 6.5935 Å, c = 6.5935 Å
α = 120.00°, β = 90.00°, γ = 90.00°
Last column: nearest neighbours and their distance in Å.
Positions (direct):
F (0.7810, 0.1519, 0.8481)  1 Pd 2.22, 1 Pb 2.48
Pb (0.5000, 0.0000, 0.0000)  6 F 2.48
F (0.7810, 0.1519, 0.3039)  1 Pd 2.22, 1 Pb 2.48
F (0.2190, 0.8481, 0.6961)  1 Pd 2.22, 1 Pb 2.48
F (0.2190, 0.8481, 0.1519)  1 Pd 2.22, 1 Pb 2.48
Pd (0.0000, 0.0000, 0.0000)  6 F 2.22
Cs (0.8569, 0.6667, 0.3333)  9 F 3.09-3.34
F (0.7810, 0.6961, 0.8481)  1 Pd 2.22, 1 Pb 2.48
Cs (0.1431, 0.3333, 0.6667)  9 F 3.09-3.34
F (0.2190, 0.3039, 0.1519)  1 Pd 2.22, 1 Pb 2.48

As for the calculated total energy: -4.31 eV per atom. The formation energy (no corrections) is -205 kJ per mole of atoms. The space-group type is P-3m1 (164).

---

A relaxed La5NdSn3 crystal. Source: the Alexandria database, functional PBE-GGA.

a = 6.9041 Å, b = 9.8156 Å, c = 9.8155 Å
α = 120.00°, β = 90.00°, γ = 90.00°
Last column: nearest neighbours and their distance in Å.
Positions (direct):
La (0.7500, 0.0000, 0.3338)  5 Sn 3.27-3.45
La (0.2500, 0.6662, 0.0000)  5 Sn 3.27-3.45
Nd (0.0000, 0.0000, 0.0000)  2 Nd 3.45, 6 Sn 3.69, 6 La 3.70
Sn (0.2500, 0.6682, 0.6682)  5 La 3.27-3.45
Sn (0.7500, 0.3318, 0.3318)  5 La 3.27-3.45
La (0.7500, 0.6662, 0.6662)  5 Sn 3.27-3.45
La (0.5000, 0.3333, 0.6667)  8 La 3.45-3.70, 6 Sn 3.71
Sn (0.7500, 0.6682, 0.0000)  5 La 3.27-3.45
Nd (0.5000, 0.0000, 0.0000)  2 Nd 3.45, 6 Sn 3.69, 6 La 3.70
La (0.2500, 0.0000, 0.6662)  5 Sn 3.27-3.45
La (0.0000, 0.3333, 0.6667)  8 La 3.45-3.70, 6 Sn 3.71
Sn (0.2500, 0.0000, 0.3318)  5 La 3.27-3.45
Sn (0.2500, 0.3318, 0.0000)  5 La 3.27-3.45
Sn (0.7500, 0.0000, 0.6682)  5 La 3.27-3.45
La (0.2500, 0.3338, 0.3338)  5 Sn 3.27-3.45
La (0.7500, 0.3338, 0.0000)  5 Sn 3.27-3.45
La (0.0000, 0.6667, 0.3333)  8 La 3.45-3.70, 6 Sn 3.71
La (0.5000, 0.6667, 0.3333)  8 La 3.45-3.70, 6 Sn 3.71

As for the calculated total energy: -5.20 eV per atom. The calculation puts the formation energy at -0.599 eV/atom. The space-group type is P6_3/mcm (193).

---

A relaxed RbZnRhBr6 crystal. Source: the Alexandria database, functional PBE-GGA.

a = 6.7116 Å, b = 6.7115 Å, c = 7.7860 Å
α = 90.00°, β = 90.00°, γ = 60.00°
Last column: nearest neighbours and their distance in Å.
Positions (direct):
Br (0.9857, 0.3746, 0.3140)  1 Rh 2.52, 1 Zn 2.64
Br (0.6397, 0.9857, 0.3140)  1 Rh 2.52, 1 Zn 2.64
Br (0.6397, 0.3746, 0.6860)  1 Rh 2.52, 1 Zn 2.64
Br (0.3746, 0.9857, 0.6860)  1 Rh 2.52, 1 Zn 2.64
Br (0.3746, 0.6397, 0.3140)  1 Rh 2.52, 1 Zn 2.64
Rb (0.0000, 0.0000, 0.0000)  6 Br 3.47
Br (0.9856, 0.6397, 0.6860)  1 Rh 2.52, 1 Zn 2.64
Rh (0.6666, 0.6667, 0.5000)  6 Br 2.52
Zn (0.3333, 0.3333, 0.5000)  6 Br 2.64

As for the calculated total energy: -3.01 eV per atom. The formation energy (no corrections) is -80 kJ per mole of atoms. The space-group type is P312 (149).

---

A relaxed YSbTeF2 crystal. Source: the Alexandria database, functional PBE-GGA.

a = 4.3601 Å, b = 4.3601 Å, c = 6.5368 Å
α = 90.00°, β = 90.00°, γ = 90.00°
Last column: nearest neighbours and their distance in Å.
Positions (direct):
F (0.5000, 0.0000, 0.0000)  2 Y 2.18
F (0.0000, 0.5000, 0.0000)  2 Y 2.18
Sb (0.0000, 0.0000, 0.5000)  4 Te 3.08, 2 Y 3.27
Te (0.5000, 0.5000, 0.5000)  4 Sb 3.08
Y (0.0000, 0.0000, 0.0000)  4 F 2.18

As for the calculated total energy: -5.76 eV per atom. The formation energy (no corrections) is -218 kJ per mole of atoms. The space-group type is P4/mmm (123).

---

A relaxed Dy4AgHg crystal. Source: the Alexandria database, functional PBE-GGA.

a = 3.6000 Å, b = 3.6000 Å, c = 12.6782 Å
α = 90.00°, β = 90.00°, γ = 90.00°
Last column: nearest neighbours and their distance in Å.
Positions (direct):
Dy (0.5000, 0.5000, 0.8541)  4 Ag 3.15
Dy (0.0000, 0.0000, 0.3424)  4 Hg 3.24, 8 Dy 3.56-3.60
Hg (0.5000, 0.5000, 0.5000)  8 Dy 3.24, 4 Hg 3.60
Dy (0.5000, 0.5000, 0.1459)  4 Ag 3.15
Dy (0.0000, 0.0000, 0.6576)  4 Hg 3.24, 8 Dy 3.56-3.60
Ag (0.0000, 0.0000, 0.0000)  8 Dy 3.15

As for the calculated total energy: -3.83 eV per atom. The calculation puts the formation energy at -0.239 eV/atom. The space-group type is P4/mmm (123).

---

A relaxed NdCdIrO6 crystal. Source: the Alexandria database, functional PBE-GGA.

a = 5.7258 Å, b = 5.7258 Å, c = 8.8588 Å
α = 90.00°, β = 90.00°, γ = 120.00°
Last column: nearest neighbours and their distance in Å.
Positions (direct):
Cd (0.0000, 0.0000, 0.0000)  6 O 2.36
O (0.3861, 0.0554, 0.1279)  1 Ir 1.93
O (0.6692, 0.6139, 0.1279)  1 Ir 1.93
O (0.3861, 0.3308, 0.3721)  1 Ir 1.93
Nd (0.6667, 0.3333, 0.7500)  6 O 2.35
O (0.9446, 0.3308, 0.1279)  1 Ir 1.93
O (0.6139, 0.9446, 0.8721)  1 Ir 1.93
Ir (0.6667, 0.3333, 0.2500)  6 O 1.93
O (0.3308, 0.9446, 0.6279)  1 Ir 1.93
O (0.0554, 0.3861, 0.6279)  1 Ir 1.93
Ir (0.3333, 0.6667, 0.7500)  6 O 1.93
O (0.6139, 0.6692, 0.6279)  1 Ir 1.93
Nd (0.3333, 0.6667, 0.2500)  6 O 2.35
O (0.3308, 0.3861, 0.8721)  1 Ir 1.93
Cd (0.0000, 0.0000, 0.5000)  6 O 2.36
O (0.0554, 0.6692, 0.8721)  1 Ir 1.93
O (0.9446, 0.6139, 0.3721)  1 Ir 1.93
O (0.6692, 0.0554, 0.3721)  1 Ir 1.93

As for the calculated total energy: -6.27 eV per atom. The formation energy (no corrections) is -130 kJ per mole of atoms. The space-group type is P-31c (163).